DFT (PBE-GGA) results for a relaxed Sc2Bi2Ru crystal.

The formation enthalpy at 0 K comes out at -0.170 eV per atom. The calculated total energy comes out at -6.11 eV/atom.

The space group is P4/mbm (No. 127) and the conventional cell measures 7.2142, 7.2142 and 4.4083 Å, with angles of 90.00, 90.00 and 90.00 degrees. Symmetry generates all atoms from Sc at (0.1610, 0.3390, 0.0000), Bi at (0.1531, 0.6531, 0.5000) and Ru at (0.0000, 0.0000, 0.5000).

DFT (PBE-GGA) results for a relaxed Sc2BiRu crystal.

The formation enthalpy at 0 K comes out at -0.370 eV per atom. The calculated total energy comes out at -6.82 eV/atom.

The space group is P4/mmm (No. 123) and the conventional cell measures 4.6365, 4.6365 and 3.7849 Å, with angles of 90.00, 90.00 and 90.00 degrees. Symmetry generates all atoms from Sc at (0.0000, 0.5000, 0.0000), Bi at (0.0000, 0.0000, 0.5000) and Ru at (0.5000, 0.5000, 0.5000).

DFT (PBE-GGA) results for a relaxed Sc2BiRu crystal.

The formation enthalpy at 0 K comes out at -0.125 eV per atom. The calculated total energy comes out at -6.58 eV/atom.

The space group is R-3m (No. 166, hexagonal axes) and the conventional cell measures 3.3927, 3.3927 and 28.9544 Å, with angles of 90.00, 90.00 and 120.00 degrees. Symmetry generates all atoms from Sc at (0.0000, 0.0000, 0.1053), Bi at (0.0000, 0.0000, 0.0000) and Ru at (0.0000, 0.0000, 0.5000).

DFT (PBE-GGA) results for a relaxed ScBiRu3 crystal.

The formation enthalpy at 0 K comes out at 1.445 eV per atom. The calculated total energy comes out at -6.16 eV/atom.

The space group is Pm-3m (No. 221) and the conventional cell measures 4.8978, 4.8978 and 4.8978 Å, with angles of 90.00, 90.00 and 90.00 degrees. Symmetry generates all atoms from Sc at (0.0000, 0.0000, 0.0000), Bi at (0.5000, 0.5000, 0.5000) and Ru at (0.0000, 0.5000, 0.5000).

DFT (PBE-GGA) results for a relaxed Sc12Bi6Ru crystal.

The formation enthalpy at 0 K comes out at -0.375 eV per atom. The calculated total energy comes out at -6.09 eV/atom.

The space group is R-3 (No. 148, hexagonal axes) and the conventional cell measures 12.5132, 12.5132 and 11.3800 Å, with angles of 90.00, 90.00 and 120.00 degrees. Symmetry generates all atoms from Sc at (0.0262, 0.1749, 0.3838), Sc at (0.0652, 0.1866, 0.8765), Bi at (0.0412, 0.2908, 0.6370) and Ru at (0.0000, 0.0000, 0.0000).

DFT (PBE-GGA) results for a relaxed ScBi2Ru crystal.

The formation enthalpy at 0 K comes out at 0.241 eV per atom. The calculated total energy comes out at -5.60 eV/atom.

The space group is I-42d (No. 122) and the conventional cell measures 4.4774, 4.4774 and 19.7060 Å, with angles of 90.00, 90.00 and 90.00 degrees. Symmetry generates all atoms from Sc at (0.0000, 0.0000, 0.0000), Bi at (0.2339, 0.2500, 0.6250) and Ru at (0.0000, 0.0000, 0.5000).

DFT (PBE-GGA) results for a relaxed Sc2BiRu crystal.

The formation enthalpy at 0 K comes out at -0.164 eV per atom. The calculated total energy comes out at -6.62 eV/atom.

The space group is I-42d (No. 122) and the conventional cell measures 7.6548, 7.6548 and 6.1425 Å, with angles of 90.00, 90.00 and 90.00 degrees. Symmetry generates all atoms from Sc at (0.1891, 0.2500, 0.1250), Bi at (0.0000, 0.0000, 0.5000) and Ru at (0.0000, 0.0000, 0.0000).

DFT (PBE-GGA) results for a relaxed ScBiRu2Se crystal.

The calculated total energy comes out at -6.21 eV/atom. The calculation puts the uncorrected formation energy at 243 meV/atom.

The space group is P4/mmm (No. 123) and the conventional cell measures 4.6215, 4.6215 and 4.9512 Å, with angles of 90.00, 90.00 and 90.00 degrees. Symmetry generates all atoms from Sc at (0.0000, 0.0000, 0.0000), Bi at (0.5000, 0.5000, 0.0000), Ru at (0.0000, 0.5000, 0.5000) and Se at (0.0000, 0.0000, 0.5000).